Version A
DFT (PBE-GGA) results for crystalline UTi2H at its relaxed geometry.

a b c (Å): 3.3042 3.3042 5.5867
angles (deg): 90.00 90.00 90.00
Sites, in units of the cell vectors:
U1 0.0000 0.0000 0.0000
Ti1 0.5000 0.5000 0.2603
Ti2 0.5000 0.5000 0.7397
H1 0.0000 0.0000 0.5000

Values from the calculation:
**Density of states at the Fermi level**: 6.29 states/eV/cell

=====

Version B
DFT (PBE-GGA) results for crystalline UTi2H at its relaxed geometry.

a b c (Å): 2.9143 2.9143 23.3995
angles (deg): 90.00 90.00 120.00
Sites, in units of the cell vectors:
U1 0.0000 0.0000 0.0000
U2 0.3333 0.6667 0.6667
U3 0.6667 0.3333 0.3333
Ti1 0.0000 0.0000 0.2191
Ti2 0.0000 0.0000 0.7809
Ti3 0.3333 0.6667 0.4476
Ti4 0.3333 0.6667 0.8858
Ti5 0.6667 0.3333 0.1142
Ti6 0.6667 0.3333 0.5524
H1 0.0000 0.0000 0.5000
H2 0.3333 0.6667 0.1667
H3 0.6667 0.3333 0.8333

Values from the calculation:
**Density of states at the Fermi level**: 26.29 states/eV/cell

=====

version B is preferred energetically. Next in line: 628 meV per atom higher.

=====

Version A
DFT (PBE-GGA) results for crystalline Ti2VH2 at its relaxed geometry.

a b c (Å): 7.2307 5.2553 5.4808
angles (deg): 90.00 101.33 90.00
Sites, in units of the cell vectors:
Ti1 0.0231 0.2500 0.0025
Ti2 0.0231 0.2500 0.5025
Ti3 0.3251 0.6026 0.3348
Ti4 0.3251 0.8974 0.8348
Ti5 0.6749 0.1026 0.1652
Ti6 0.6749 0.3974 0.6652
Ti7 0.9769 0.7500 0.4975
Ti8 0.9769 0.7500 0.9975
V1 0.3411 0.1075 0.3362
V2 0.3411 0.3925 0.8362
V3 0.6589 0.6075 0.1638
V4 0.6589 0.8925 0.6638
H1 0.0911 0.5131 0.7732
H2 0.0911 0.9869 0.2732
H3 0.4701 0.1436 0.6729
H4 0.4701 0.3564 0.1729
H5 0.5299 0.6436 0.8271
H6 0.5299 0.8564 0.3271
H7 0.9089 0.0131 0.7268
H8 0.9089 0.4869 0.2268

Values from the calculation:
**Density of states at the Fermi level**: 16.32 states/eV/cell

=====

Version B
DFT (PBE-GGA) results for crystalline Ti2VH2 at its relaxed geometry.

a b c (Å): 3.2184 3.2184 10.0606
angles (deg): 90.00 90.00 90.00
Sites, in units of the cell vectors:
Ti1 0.0000 0.0000 0.1480
Ti2 0.0000 0.0000 0.8520
Ti3 0.5000 0.5000 0.3520
Ti4 0.5000 0.5000 0.6480
V1 0.0000 0.0000 0.5000
V2 0.5000 0.5000 0.0000
H1 0.0000 0.5000 0.2500
H2 0.0000 0.5000 0.7500
H3 0.5000 0.0000 0.2500
H4 0.5000 0.0000 0.7500

Values from the calculation:
**Density of states at the Fermi level**: 11.36 states/eV/cell

=====

version B is preferred energetically. Next in line: 61 meV per atom higher.